(1)
Below is AsH2Rh after structural relaxation, with properties calculated at the PBE-GGA level.

Structure (extended XYZ):
```
4
Lattice="-3.689 -0.972 -0.033 -2.568 2.316 -1.610 -1.681 -0.999 -3.276" Properties=species:S:1:pos:R:3 pbc="T T T"
H -1.984 0.086 -1.230
H -5.953 0.259 -3.689
Rh -3.969 0.173 -2.459
As 0.000 0.000 0.000
```

Properties
**D(E_F)**: 2.1 states/eV/cell
**Magnetization**: 0.000 μB/cell
**Polymorph energy (0 for the lowest one)**: 0.4229 eV per atom



(2)
Below is Bi3Se after structural relaxation, with properties calculated at the PBE-GGA level.

Structure (extended XYZ):
```
4
Lattice="6.405 0.000 0.000 0.000 4.309 0.000 0.000 0.000 4.673" Properties=species:S:1:pos:R:3 pbc="T T T"
Se 3.203 0.000 3.896
Bi 0.000 0.000 3.894
Bi 3.203 2.154 1.563
Bi 0.000 2.154 1.549
```

Properties
**D(E_F)**: 2.4 states/eV/cell
**Magnetization**: 0.000 μB/cell
**Formation energy without anion corrections**: -35 meV per atom
**Polymorph energy (0 for the lowest one)**: 0.0000 eV per atom



(3)
Below is SrHfIn2F8 after structural relaxation, with properties calculated at the PBE-GGA level.

Structure (extended XYZ):
```
12
Lattice="3.829 -0.064 -0.002 0.101 6.716 -0.008 0.005 0.010 7.942" Properties=species:S:1:pos:R:3 pbc="T T T"
F 0.089 5.468 1.641
F 1.941 1.545 3.968
F 2.009 5.556 7.935
F 3.842 1.188 1.644
F 1.993 5.116 3.964
F 1.926 1.105 -0.002
F 3.845 1.193 6.291
F 0.092 5.473 6.288
In 1.966 3.328 2.012
In 1.968 3.333 5.920
Hf 0.000 0.000 0.000
Sr 0.002 0.005 3.971
```

Properties
**D(E_F)**: 0.0 states/eV/cell
**Magnetization**: 0.000 μB/cell
**Formation energy without anion corrections**: -3081 meV per atom



(4)
Below is InGaSb3 after structural relaxation, with properties calculated at the PBE-GGA level.

Structure (extended XYZ):
```
5
Lattice="-1.747 1.115 -5.255 -4.046 -3.908 0.517 -3.534 3.924 2.007" Properties=species:S:1:pos:R:3 pbc="T T T"
Sb -1.767 1.962 1.004
Sb -0.874 0.557 -2.628
Sb -2.023 -1.954 0.258
Ga -4.664 0.565 -1.366
In 0.000 0.000 0.000
```

Properties
**D(E_F)**: 6.3 states/eV/cell
**Magnetization**: 0.000 μB/cell
**Formation energy without anion corrections**: 727 meV per atom
**Polymorph energy (0 for the lowest one)**: 0.2680 eV per atom



(5)
Below is Sr2Al3Ir after structural relaxation, with properties calculated at the PBE-GGA level.

Structure (extended XYZ):
```
6
Lattice="5.045 -0.156 -2.649 -3.211 4.704 -0.239 -0.233 0.122 5.651" Properties=species:S:1:pos:R:3 pbc="T T T"
Sr 2.537 1.651 -1.396
Sr -0.936 3.019 4.159
Al 0.801 2.335 1.382
Al 2.406 -0.017 1.501
Al -0.117 0.061 2.825
Ir 0.000 0.000 0.000
```

Properties
**D(E_F)**: 3.5 states/eV/cell
**Magnetization**: 0.000 μB/cell
**Energy of formation**: -0.343 eV/atom



(6)
Below is KTc3Br after structural relaxation, with properties calculated at the PBE-GGA level.

Structure (extended XYZ):
```
5
Lattice="4.721 0.000 0.000 0.000 4.721 0.000 0.000 0.000 4.721" Properties=species:S:1:pos:R:3 pbc="T T T"
Tc 2.361 0.000 0.000
Tc 0.000 0.000 2.361
Tc 0.000 2.361 0.000
Br 0.000 0.000 0.000
K 2.361 2.361 2.361
```

Properties
**D(E_F)**: 4.8 states/eV/cell
**Magnetization**: 2.565 μB/cell
**Formation energy without anion corrections**: 1753 meV per atom
**Polymorph energy (0 for the lowest one)**: 0.0000 eV per atom



(7)
Below is LaTl2Ir2 after structural relaxation, with properties calculated at the PBE-GGA level.

Structure (extended XYZ):
```
10
Lattice="-2.392 6.650 -2.481 -1.962 -3.136 -6.513 -3.656 -0.766 1.471" Properties=species:S:1:pos:R:3 pbc="T T T"
Ir -1.533 -1.122 -4.397
Ir -2.821 4.637 -4.597
Ir -1.141 2.084 -1.752
Ir -3.213 1.430 -7.243
La -2.177 1.757 -4.497
La 0.000 0.000 0.000
Tl -4.272 -0.770 -5.544
Tl -5.131 3.095 -5.664
Tl -2.880 -0.346 -1.860
Tl -3.738 3.518 -1.980
```

Properties
**D(E_F)**: 6.7 states/eV/cell
**Magnetization**: 0.000 μB/cell
**Energy of formation**: 0.026 eV/atom
**Polymorph energy (0 for the lowest one)**: 0.1414 eV per atom



(8)
Below is Tl2GeSb2 after structural relaxation, with properties calculated at the PBE-GGA level.

Structure (extended XYZ):
```
10
Lattice="7.925 0.000 0.000 0.000 7.925 0.000 0.000 0.000 4.880" Properties=species:S:1:pos:R:3 pbc="T T T"
Sb 4.974 6.913 2.440
Sb 1.012 4.974 2.440
Sb 2.951 1.012 2.440
Sb 6.913 2.951 2.440
Ge 0.000 0.000 0.000
Ge 3.963 3.963 0.000
Tl 5.271 1.309 0.000
Tl 1.309 2.654 0.000
Tl 2.654 6.616 0.000
Tl 6.616 5.271 0.000
```

Properties
**D(E_F)**: 5.6 states/eV/cell
**Magnetization**: 0.000 μB/cell
**Formation energy without anion corrections**: 354 meV per atom
**Polymorph energy (0 for the lowest one)**: 0.2311 eV per atom



(9)
Below is Pr2HoThP4 after structural relaxation, with properties calculated at the PBE-GGA level.

Structure (extended XYZ):
```
8
Lattice="-1.362 -3.909 0.042 5.819 -2.066 -3.593 1.291 -0.375 7.054" Properties=species:S:1:pos:R:3 pbc="T T T"
P 4.677 -1.640 -0.994
P 1.045 -2.547 0.829
P 4.704 -3.802 2.674
P 2.433 -0.800 4.455
Pr 3.555 -1.220 1.731
Pr -0.035 -2.142 3.548
Ho 0.000 0.000 0.000
Th 2.229 -2.988 -1.775
```

Properties
**D(E_F)**: 1.5 states/eV/cell
**Magnetization**: 0.000 μB/cell
**Energy of formation**: -1.568 eV/atom



(10)
Below is Na3GeH6 after structural relaxation, with properties calculated at the PBE-GGA level.

Structure (extended XYZ):
```
20
Lattice="6.035 0.000 0.000 0.000 7.002 0.207 0.000 -1.361 6.872" Properties=species:S:1:pos:R:3 pbc="T T T"
Na 0.076 3.435 3.050
Na 6.021 3.663 6.268
Na 3.004 5.293 4.970
Na 3.004 1.978 0.810
Na 6.021 0.349 2.109
Na 3.093 2.206 4.029
H 4.580 1.922 2.277
H 3.918 5.873 2.683
H 4.107 0.384 5.481
H 4.580 3.851 4.697
H 0.900 1.305 6.324
H 1.089 5.258 1.597
H 1.563 3.719 4.802
H 1.563 1.791 2.382
H 0.900 -0.232 4.395
H 3.918 4.336 0.755
H 2.989 6.550 0.567
H 6.006 -0.909 6.511
Ge 2.927 5.314 1.552
Ge 5.944 0.327 5.526
```

Properties
**D(E_F)**: 3.5 states/eV/cell
**Total energy**: -2.8044 eV/atom
**Magnetization**: 0.827 μB/cell



(11)
Below is SrCu4Te after structural relaxation, with properties calculated at the PBE-GGA level.

Structure (extended XYZ):
```
6
Lattice="0.000 3.792 3.792 3.792 0.000 3.792 3.792 3.792 0.000" Properties=species:S:1:pos:R:3 pbc="T T T"
Cu 4.749 2.835 4.749
Cu 2.835 2.835 2.835
Cu 2.835 4.749 4.749
Cu 4.749 4.749 2.835
Te 0.000 0.000 0.000
Sr 5.688 5.688 5.688
```

Properties
**Magnetization**: 0.000 μB/cell
**Formation energy without anion corrections**: -99 meV per atom



(12)
Below is NdYCuRu after structural relaxation, with properties calculated at the PBE-GGA level.

Structure (extended XYZ):
```
4
Lattice="-3.819 -0.708 0.484 0.120 -2.861 -3.242 3.062 -3.505 3.206" Properties=species:S:1:pos:R:3 pbc="T T T"
Cu -1.689 -2.324 -0.898
Y -1.015 -4.580 1.119
Nd 0.333 -1.115 0.996
Ru 0.976 -3.268 2.920
```

Properties
**D(E_F)**: 3.5 states/eV/cell
**Magnetization**: 0.000 μB/cell
**Energy of formation**: -0.228 eV/atom



Record order is preserved below.
Calculated volume: 9.8, 32.2, 17.0, 36.1, 21.6, 21.0, 22.5, 30.7, 25.0, 14.6, 18.2, 22.4 Å³ per atom